Computed, not measured: a relaxed MnSbBr2 crystal at the PBE level of DFT.

Total moment = 4.88 μB/f.u.
Calculated density = 4.28 g/cm³
Crystal system = trigonal
E_form (uncorrected) = -0.963 eV per formula unit
Calculated volume = 32.7 A^3/atom
Energy above the most stable polymorph in this dataset = 0.050 eV/f.u.

```
data_MnSbBr2
_chemical_formula_sum 'Mn3 Sb3 Br6'
_symmetry_space_group_name_H-M 'R -3 m'
_symmetry_Int_Tables_number 166
_symmetry_space_group_name_Hall '-R 3 2"'
_cell_length_a 3.5871
_cell_length_b 3.5871
_cell_length_c 35.1776
_cell_angle_alpha 90.00
_cell_angle_beta 90.00
_cell_angle_gamma 120.00
loop_
_atom_site_label
_atom_site_type_symbol
_atom_site_fract_x
_atom_site_fract_y
_atom_site_fract_z
_atom_site_occupancy
Mn1 Mn 0.0000 0.0000 0.0000 1
Sb1 Sb 0.0000 0.0000 0.5000 1
Br1 Br 0.0000 0.0000 0.3801 1
```